Record 1
! TaAlNi2H PBE relaxed; values from VASP
! SG   No. 123
! Total energy   -31.28 eV for the cell shown
! Density of states at the Fermi level   4.2 states/eV/f.u.
! Total magnetization   1.43 μB/cell
&SYSTEM
  ibrav = 0, nat = 5, ntyp = 4
/
ATOMIC_SPECIES
Ni 58.69 Ni.upf
H 1.01 H.upf
Al 26.98 Al.upf
Ta 180.95 Ta.upf
CELL_PARAMETERS angstrom
3.822 0.000 0.000
0.000 3.822 0.000
0.000 0.000 3.915
ATOMIC_POSITIONS angstrom
Ni 0.000 1.911 0.000
Ni 1.911 0.000 0.000
H 0.000 0.000 0.000
Al 1.911 1.911 1.958
Ta 0.000 0.000 1.958

***

Record 2
! ZrMn2Re PBE relaxed; values from VASP
! Distance to the lowest polymorph of the same formula   0.0884 eV/atom
! SG   No. 10
! Density of states at the Fermi level   5.0 states/eV/f.u.
! E_form   128 meV per atom
! Total magnetization   2.80 μB/cell
&SYSTEM
  ibrav = 0, nat = 4, ntyp = 3
/
ATOMIC_SPECIES
Mn 54.94 Mn.upf
Re 186.21 Re.upf
Zr 91.22 Zr.upf
CELL_PARAMETERS angstrom
4.047 0.000 0.000
0.000 2.782 0.005
0.000 1.248 5.347
ATOMIC_POSITIONS angstrom
Mn 0.000 0.056 0.193
Mn 0.000 1.959 2.483
Re 2.023 1.007 1.338
Zr 2.023 3.022 4.014

***

Record 3
! Ce6MgOs2 PBE relaxed; values from VASP
! SG   No. 12
! Density of states at the Fermi level   17.1 states/eV/f.u.
! E_form   -117 meV per atom
! Total magnetization   0.18 μB/cell
&SYSTEM
  ibrav = 0, nat = 9, ntyp = 3
/
ATOMIC_SPECIES
Ce 140.12 Ce.upf
Mg 24.30 Mg.upf
Os 190.23 Os.upf
CELL_PARAMETERS angstrom
-2.905 -3.788 -0.057
2.403 1.242 -5.082
6.699 -5.177 2.656
ATOMIC_POSITIONS angstrom
Ce 0.289 -3.167 -4.131
Ce -0.067 -2.947 -0.647
Ce 3.256 -2.467 -1.937
Ce 2.942 -5.256 -0.547
Ce 6.264 -4.776 -1.837
Ce 5.908 -4.556 1.647
Mg 3.350 -2.589 1.328
Os 4.922 -6.781 -0.084
Os 1.276 -0.942 -2.399

***

Record 4
! Cu2TcPb PBE relaxed; values from VASP
! SG   No. 139
! Density of states at the Fermi level   3.3 states/eV/f.u.
! E_form   575 meV per atom
! Total magnetization   1.56 μB/cell
&SYSTEM
  ibrav = 0, nat = 4, ntyp = 3
/
ATOMIC_SPECIES
Tc 98.00 Tc.upf
Cu 63.55 Cu.upf
Pb 207.20 Pb.upf
CELL_PARAMETERS angstrom
4.967 -0.001 0.000
1.781 4.637 0.000
-3.374 -2.318 2.813
ATOMIC_POSITIONS angstrom
Tc 2.483 -0.001 1.407
Cu 0.000 0.000 0.000
Cu 3.374 2.318 0.000
Pb 0.890 2.318 1.407

***

Record 5
! Li5B8C8 PBE relaxed; values from VASP
! Distance to the lowest polymorph of the same formula   0.0167 eV/atom
! SG   No. 6
! Density of states at the Fermi level   6.3 states/eV/f.u.
! E_form   -128 meV per atom
! Total magnetization   0.00 μB/cell
&SYSTEM
  ibrav = 0, nat = 21, ntyp = 3
/
ATOMIC_SPECIES
B 10.81 B.upf
Li 6.94 Li.upf
C 12.01 C.upf
CELL_PARAMETERS angstrom
-7.753 3.085 -2.316
3.708 -5.593 -5.763
-1.205 -2.088 1.252
ATOMIC_POSITIONS angstrom
B -7.378 0.827 -2.774
B 0.102 -1.926 -3.115
B -1.863 -3.224 -7.173
B -1.420 -3.663 -4.530
B -3.810 -0.953 -2.310
B -2.097 0.667 -0.906
B 2.087 -5.380 -4.020
B -4.190 -0.551 -4.951
Li -3.964 -2.475 -7.945
Li -4.445 0.477 -0.535
Li 0.968 -3.384 -4.714
Li -1.707 -1.732 -1.586
Li -5.076 0.916 -3.357
C -2.842 0.295 -2.244
C 0.601 -1.386 -1.734
C -0.774 -3.228 -3.184
C -4.746 -1.044 -6.311
C -1.096 -2.879 -5.859
C 1.376 -5.780 -5.372
C -4.529 -1.329 -3.630
C -6.562 1.144 -1.460

***

Record 6
! Hf2ZrZn PBE relaxed; values from VASP
! SG   No. 122
! Density of states at the Fermi level   4.0 states/eV/f.u.
! E_form   324 meV per atom
! Total magnetization   0.00 μB/cell
&SYSTEM
  ibrav = 0, nat = 8, ntyp = 3
/
ATOMIC_SPECIES
Zn 65.41 Zn.upf
Zr 91.22 Zr.upf
Hf 178.49 Hf.upf
CELL_PARAMETERS angstrom
-2.728 2.230 -2.131
-1.271 -3.405 -1.936
-8.952 -2.132 5.249
ATOMIC_POSITIONS angstrom
Zn -2.000 -0.588 -2.034
Zn -6.111 -3.062 0.640
Zr -6.840 -0.245 0.542
Zr 0.000 0.000 0.000
Hf -8.216 -2.045 2.408
Hf -3.378 -2.379 -0.168
Hf -10.211 -2.622 0.381
Hf -4.097 0.431 -0.258